(1)
NbTlPt2: relaxed, PBE.

Cell lengths 4.637, 4.637, 4.637 Å; angles 60.00, 60.00, 60.00 degrees
Atoms (fractional coordinates):
Nb: 0.000 0.000 0.000
Tl: 0.750 0.750 0.750
Pt: 0.250 0.250 0.250
Pt: 0.500 0.500 0.500

Output
Magnetic moment (μB per atom): 0.004
Crystal system: cubic


(2)
YLu2Al7Ag2: relaxed, PBE.

Cell lengths 9.288, 9.288, 9.288 Å; angles 34.46, 34.46, 34.46 degrees
Atoms (fractional coordinates):
Y: 0.000 0.000 0.000
Lu: 0.143 0.143 0.143
Lu: 0.857 0.857 0.857
Al: 0.077 0.589 0.589
Al: 0.411 0.411 0.923
Al: 0.411 0.923 0.411
Al: 0.500 0.500 0.500
Al: 0.589 0.077 0.589
Al: 0.589 0.589 0.077
Al: 0.923 0.411 0.411
Ag: 0.336 0.336 0.336
Ag: 0.664 0.664 0.664

Output
Magnetic moment (μB per atom): 0.000
Crystal system: trigonal


(3)
YCuTcSb: relaxed, PBE.

Cell lengths 4.789, 4.789, 4.789 Å; angles 60.00, 60.00, 60.00 degrees
Atoms (fractional coordinates):
Y: 0.000 0.000 0.000
Cu: 0.500 0.500 0.500
Tc: 0.750 0.750 0.750
Sb: 0.250 0.250 0.250

Output
ΔE to the lowest computed polymorph (eV per atom): 0.360
Magnetic moment (μB per atom): 0.097
Crystal system: cubic


(4)
YErAl4Fe2: relaxed, PBE.

Cell lengths 7.071, 5.415, 5.415 Å; angles 43.24, 90.00, 90.00 degrees
Atoms (fractional coordinates):
Y: 0.000 0.000 0.000
Er: 0.500 0.123 0.123
Al: 0.195 0.718 0.718
Al: 0.307 0.406 0.406
Al: 0.693 0.406 0.406
Al: 0.805 0.718 0.718
Fe: 0.000 0.278 0.278
Fe: 0.500 0.846 0.846

Output
Magnetic moment (μB per atom): 0.250
Crystal system: orthorhombic


(5)
LuNi2Ge: relaxed, PBE.

Cell lengths 3.996, 4.804, 6.612 Å; angles 90.00, 90.00, 90.00 degrees
Atoms (fractional coordinates):
Lu: 0.000 0.122 0.000
Lu: 0.000 0.878 0.500
Ni: 0.000 0.394 0.639
Ni: 0.000 0.606 0.139
Ni: 0.500 0.128 0.718
Ni: 0.500 0.872 0.218
Ge: 0.500 0.362 0.361
Ge: 0.500 0.638 0.861

Output
Magnetic moment (μB per atom): 0.000
Crystal system: orthorhombic


(6)
BaMg2SiPt: relaxed, PBE.

Cell lengths 6.489, 6.489, 6.489 Å; angles 138.50, 138.50, 60.14 degrees
Atoms (fractional coordinates):
Ba: 0.000 0.000 0.000
Mg: 0.253 0.753 0.500
Mg: 0.753 0.253 0.500
Si: 0.395 0.395 0.000
Pt: 0.613 0.613 0.000

Output
Magnetic moment (μB per atom): 0.001
Crystal system: tetragonal


(7)
ScInAg2: relaxed, PBE.

Cell lengths 3.552, 3.552, 6.423 Å; angles 90.00, 90.00, 90.00 degrees
Atoms (fractional coordinates):
Sc: 0.000 0.000 0.000
In: 0.000 0.000 0.500
Ag: 0.500 0.500 0.234
Ag: 0.500 0.500 0.766

Output
Magnetic moment (μB per atom): 0.002
Crystal system: tetragonal


(8)
Li2TaGa2MoOs2: relaxed, PBE.

Cell lengths 4.325, 4.325, 6.111 Å; angles 90.00, 90.00, 90.00 degrees
Atoms (fractional coordinates):
Li: 0.000 0.500 0.248
Li: 0.500 0.000 0.752
Ta: 0.000 0.000 0.500
Ga: 0.000 0.000 0.000
Ga: 0.500 0.500 0.500
Mo: 0.500 0.500 0.000
Os: 0.000 0.500 0.757
Os: 0.500 0.000 0.243

Output
Magnetic moment (μB per atom): 0.000
Crystal system: tetragonal


(9)
NdHo2Al3Si2Ir: relaxed, PBE.

Cell lengths 4.243, 6.975, 6.975 Å; angles 120.28, 90.00, 90.00 degrees
Atoms (fractional coordinates):
Nd: 0.000 0.000 0.000
Ho: 0.000 0.416 0.831
Ho: 0.000 0.831 0.416
Al: 0.500 0.188 0.421
Al: 0.500 0.421 0.188
Al: 0.500 0.648 0.648
Si: 0.500 0.089 0.747
Si: 0.500 0.747 0.089
Ir: 0.000 0.427 0.427

Output
Magnetic moment (μB per atom): 0.000
Crystal system: orthorhombic


(10)
LiCoCuTeSe2: relaxed, PBE.

Cell lengths 6.634, 6.634, 9.764 Å; angles 90.00, 90.00, 149.23 degrees
Atoms (fractional coordinates):
Li: 0.222 0.778 0.750
Li: 0.778 0.222 0.250
Co: 0.000 0.000 0.000
Co: 0.000 0.000 0.500
Cu: 0.441 0.559 0.250
Cu: 0.559 0.441 0.750
Te: 0.090 0.910 0.250
Te: 0.910 0.090 0.750
Se: 0.370 0.630 0.031
Se: 0.370 0.630 0.469
Se: 0.630 0.370 0.531
Se: 0.630 0.370 0.969

Output
Magnetic moment (μB per atom): 0.000
Crystal system: orthorhombic


(11)
PuPaPd: relaxed, PBE.

Cell lengths 4.586, 4.586, 4.586 Å; angles 60.00, 60.00, 60.00 degrees
Atoms (fractional coordinates):
Pu: 0.000 0.000 0.000
Pa: 0.750 0.750 0.750
Pd: 0.250 0.250 0.250

Output
ΔE to the lowest computed polymorph (eV per atom): 0.000
ΔE_f (kJ/mol of formula units): -23
Magnetic moment (μB per atom): 1.892
Crystal system: cubic


(12)
Nb2GaIr: relaxed, PBE.

Cell lengths 4.526, 4.526, 4.526 Å; angles 60.00, 60.00, 60.00 degrees
Atoms (fractional coordinates):
Nb: 0.000 0.000 0.000
Nb: 0.250 0.250 0.250
Ga: 0.500 0.500 0.500
Ir: 0.750 0.750 0.750

Output
Magnetic moment (μB per atom): 0.004
Crystal system: cubic


(13)
MgCoHgGe: relaxed, PBE.

Cell lengths 4.534, 4.534, 4.534 Å; angles 60.00, 60.00, 60.00 degrees
Atoms (fractional coordinates):
Mg: 0.000 0.000 0.000
Co: 0.500 0.500 0.500
Hg: 0.750 0.750 0.750
Ge: 0.250 0.250 0.250

Output
ΔE to the lowest computed polymorph (eV per atom): 0.000
Magnetic moment (μB per atom): 0.003
Crystal system: cubic


(14)
UGe: relaxed, PBE.

Cell lengths 4.558, 4.558, 4.558 Å; angles 60.00, 60.00, 60.00 degrees
Atoms (fractional coordinates):
U: 0.000 0.000 0.000
Ge: 0.250 0.250 0.250

Output
Magnetic moment (μB per atom): 1.001
Crystal system: cubic


(15)
RbHoSeO: relaxed, PBE.

Cell lengths 4.538, 8.448, 6.727 Å; angles 90.00, 90.00, 90.00 degrees
Atoms (fractional coordinates):
Rb: 0.000 0.199 0.000
Rb: 0.000 0.801 0.500
Ho: 0.500 0.383 0.428
Ho: 0.500 0.617 0.928
Se: 0.000 0.206 0.505
Se: 0.000 0.794 0.005
O: 0.500 0.423 0.120
O: 0.500 0.577 0.620

Output
ΔE to the lowest computed polymorph (eV per atom): 0.075
Magnetic moment (μB per atom): 0.000
Crystal system: orthorhombic


(16)
NaH2Au: relaxed, PBE.

Cell lengths 5.410, 3.603, 6.332 Å; angles 90.00, 113.41, 90.00 degrees
Atoms (fractional coordinates):
Na: 0.058 0.250 0.271
Na: 0.942 0.750 0.729
H: 0.152 0.250 0.661
H: 0.181 0.750 0.114
H: 0.819 0.250 0.886
H: 0.848 0.750 0.339
Au: 0.486 0.250 0.782
Au: 0.514 0.750 0.218

Output
Crystal system: monoclinic


(17)
Li4Zn2FePd: relaxed, PBE.

Cell lengths 4.232, 4.232, 6.002 Å; angles 90.00, 90.00, 90.00 degrees
Atoms (fractional coordinates):
Li: 0.000 0.000 0.000
Li: 0.000 0.500 0.248
Li: 0.500 0.000 0.752
Li: 0.500 0.500 0.500
Zn: 0.000 0.500 0.737
Zn: 0.500 0.000 0.263
Fe: 0.000 0.000 0.500
Pd: 0.500 0.500 0.000

Output
Magnetic moment (μB per atom): 0.231
Crystal system: tetragonal


(18)
Zr2Ta4Cu3N3: relaxed, PBE.

Cell lengths 5.403, 5.403, 13.686 Å; angles 101.60, 101.60, 59.78 degrees
Atoms (fractional coordinates):
Zr: 0.041 0.877 0.619
Zr: 0.123 0.959 0.881
Zr: 0.877 0.041 0.119
Zr: 0.959 0.123 0.381
Ta: 0.193 0.357 0.085
Ta: 0.298 0.480 0.415
Ta: 0.357 0.193 0.585
Ta: 0.480 0.298 0.915
Ta: 0.520 0.702 0.085
Ta: 0.643 0.807 0.415
Ta: 0.702 0.520 0.585
Ta: 0.807 0.643 0.915
Cu: 0.086 0.395 0.751
Cu: 0.395 0.086 0.251
Cu: 0.433 0.567 0.250
Cu: 0.567 0.433 0.750
Cu: 0.605 0.914 0.749
Cu: 0.914 0.605 0.249
N: 0.000 0.500 0.500
N: 0.161 0.679 0.000
N: 0.321 0.839 0.500
N: 0.500 0.000 0.000
N: 0.679 0.161 0.500
N: 0.839 0.321 0.000

Output
Magnetic moment (μB per atom): 0.001
Crystal system: monoclinic


(19)
ScNiSb: relaxed, PBE.

Cell lengths 6.985, 6.985, 3.882 Å; angles 90.00, 90.00, 120.00 degrees
Atoms (fractional coordinates):
Sc: 0.000 0.613 0.000
Sc: 0.387 0.387 0.000
Sc: 0.613 0.000 0.000
Ni: 0.000 0.000 0.000
Ni: 0.333 0.667 0.500
Ni: 0.667 0.333 0.500
Sb: 0.000 0.279 0.500
Sb: 0.279 0.000 0.500
Sb: 0.721 0.721 0.500

Output
Magnetic moment (μB per atom): 0.000
Crystal system: hexagonal


(20)
MgPa2O4: relaxed, PBE.

Cell lengths 6.747, 6.747, 6.747 Å; angles 60.00, 60.00, 60.00 degrees
Atoms (fractional coordinates):
Mg: 0.125 0.125 0.125
Mg: 0.875 0.875 0.875
Pa: 0.000 0.500 0.500
Pa: 0.500 0.000 0.500
Pa: 0.500 0.500 0.000
Pa: 0.500 0.500 0.500
O: 0.236 0.755 0.755
O: 0.245 0.245 0.245
O: 0.245 0.245 0.764
O: 0.245 0.764 0.245
O: 0.755 0.236 0.755
O: 0.755 0.755 0.236
O: 0.755 0.755 0.755
O: 0.764 0.245 0.245

Output
Magnetic moment (μB per atom): 0.421
Crystal system: cubic


(21)
RbEr2Cu3Te4S: relaxed, PBE.

Cell lengths 8.029, 8.029, 17.539 Å; angles 90.00, 90.00, 149.18 degrees
Atoms (fractional coordinates):
Rb: 0.073 0.927 0.750
Rb: 0.927 0.073 0.250
Er: 0.194 0.806 0.102
Er: 0.194 0.806 0.398
Er: 0.806 0.194 0.602
Er: 0.806 0.194 0.898
Cu: 0.331 0.669 0.750
Cu: 0.417 0.583 0.023
Cu: 0.417 0.583 0.477
Cu: 0.583 0.417 0.523
Cu: 0.583 0.417 0.977
Cu: 0.669 0.331 0.250
Te: 0.166 0.834 0.571
Te: 0.166 0.834 0.929
Te: 0.444 0.556 0.624
Te: 0.444 0.556 0.876
Te: 0.556 0.444 0.124
Te: 0.556 0.444 0.376
Te: 0.834 0.166 0.071
Te: 0.834 0.166 0.429
S: 0.235 0.765 0.250
S: 0.765 0.235 0.750

Output
Magnetic moment (μB per atom): 0.000
Crystal system: orthorhombic


(22)
AcCdFe: relaxed, PBE.

Cell lengths 5.172, 5.172, 5.172 Å; angles 60.00, 60.00, 60.00 degrees
Atoms (fractional coordinates):
Ac: 0.000 0.000 0.000
Cd: 0.750 0.750 0.750
Fe: 0.250 0.250 0.250

Output
ΔE to the lowest computed polymorph (eV per atom): 0.540
ΔE_f (kJ/mol of formula units): 262
Magnetic moment (μB per atom): 0.808
Crystal system: cubic


(23)
HfTaCuSi: relaxed, PBE.

Cell lengths 4.509, 4.509, 4.509 Å; angles 60.00, 60.00, 60.00 degrees
Atoms (fractional coordinates):
Hf: 0.000 0.000 0.000
Ta: 0.250 0.250 0.250
Cu: 0.750 0.750 0.750
Si: 0.500 0.500 0.500

Output
ΔE to the lowest computed polymorph (eV per atom): 0.000
Magnetic moment (μB per atom): 0.009
Crystal system: cubic


(24)
Pu3Fe: relaxed, PBE.

Cell lengths 6.715, 6.715, 4.437 Å; angles 90.00, 90.00, 120.00 degrees
Atoms (fractional coordinates):
Pu: 0.180 0.360 0.250
Pu: 0.180 0.820 0.250
Pu: 0.360 0.180 0.750
Pu: 0.640 0.820 0.250
Pu: 0.820 0.180 0.750
Pu: 0.820 0.640 0.750
Fe: 0.333 0.667 0.750
Fe: 0.667 0.333 0.250

Output
ΔE_f (kJ/mol of formula units): 45
Magnetic moment (μB per atom): 3.629
Crystal system: hexagonal


(25)
LiZrBeAu: relaxed, PBE.

Cell lengths 4.440, 4.440, 4.440 Å; angles 60.00, 60.00, 60.00 degrees
Atoms (fractional coordinates):
Li: 0.000 0.000 0.000
Zr: 0.250 0.250 0.250
Be: 0.750 0.750 0.750
Au: 0.500 0.500 0.500

Output
ΔE to the lowest computed polymorph (eV per atom): 0.000
Magnetic moment (μB per atom): 0.001
Crystal system: cubic


We obtain calculated total energy values of -24.76 -52.61 -23.29 -45.57 -43.67 -19.32 -15.57 -56.98 -52.34 -49.39 -29.04 -32.77 -12.83 -13.99 -45.22 -24.13 -24.70 -216.90 -54.29 -111.12 -95.77 -10.60 -29.88 -100.44 -18.42 eV per cell for the records listed above, in that order.